# 1
Here is a relaxed structure of LiAlVO4 from Alexandria via LeMat-Bulk. Energies are from PBEsol.

Cell and atoms, written as extended XYZ:
```
28
Lattice="5.729 0.000 0.000 0.000 5.729 0.000 0.000 0.000 7.998" Properties=species:S:1:pos:R:3 pbc="T T T"
Li 1.330 0.000 2.000
Li 0.000 1.330 0.000
Li 4.399 0.000 5.999
Li 0.000 4.399 3.999
O 4.200 5.673 3.918
O 2.891 1.524 6.086
O 5.673 1.529 5.917
O 1.529 5.673 4.080
O 0.057 4.200 1.918
O 2.891 4.205 5.911
O 4.205 2.838 7.911
O 4.205 2.891 4.087
O 1.524 2.838 0.088
O 5.673 4.200 6.080
O 4.200 0.057 0.081
O 0.057 1.529 2.081
O 1.524 2.891 3.911
O 1.529 0.057 7.917
O 2.838 4.205 2.087
O 2.838 1.524 1.912
Al 4.270 1.459 2.999
Al 4.270 4.270 1.000
Al 1.459 1.459 4.999
Al 1.459 4.270 6.998
V 2.865 4.415 3.999
V 1.314 2.865 2.000
V 2.865 1.314 0.000
V 4.415 2.865 5.999
```

Results
Final energy   -7.78 eV/atom
Formation energy without anion corrections   -17.78 eV per formula unit
Crystal system   tetragonal

# 2
Here is a relaxed structure of LiAlVO4 from Alexandria via LeMat-Bulk. Energies are from PBEsol.

Cell and atoms, written as extended XYZ:
```
14
Lattice="-4.884 -2.616 1.322 -2.803 -2.996 -4.013 -0.198 -5.733 0.195" Properties=species:S:1:pos:R:3 pbc="T T T"
V -2.442 -1.308 0.661
V -3.942 -5.672 -1.248
O -2.139 -5.840 -0.573
O -4.457 -4.162 -0.161
O -3.495 -4.299 -2.532
O -2.073 -2.665 -0.663
O -5.811 -8.680 -1.833
O -4.390 -7.046 0.036
O -3.428 -7.183 -2.336
O -5.745 -5.505 -1.923
Li -6.789 -7.096 -2.311
Li -1.095 -4.249 -0.185
Al -3.844 -2.806 -1.346
Al -1.402 -1.498 -2.007
```

Results
Final energy   -7.81 eV/atom
Formation energy without anion corrections   -17.96 eV per formula unit
Crystal system   orthorhombic

# 3
Here is a relaxed structure of LiAl2Os from Alexandria via LeMat-Bulk. Energies are from PBEsol.

Cell and atoms, written as extended XYZ:
```
4
Lattice="3.145 0.000 0.000 0.000 4.022 0.000 -1.573 -2.011 4.227" Properties=species:S:1:pos:R:3 pbc="T T T"
Al 1.572 0.000 4.157
Al 1.572 2.011 2.155
Li 1.573 0.000 0.037
Os 0.000 0.000 2.105
```

Results
ΔH_f (0 K)   -306 meV per atom
Final energy   -5.90 eV/atom
Crystal system   orthorhombic

# 4
Here is a relaxed structure of Li2AlOs from Alexandria via LeMat-Bulk. Energies are from PBEsol.

Cell and atoms, written as extended XYZ:
```
8
Lattice="4.847 0.000 0.000 2.423 4.773 0.000 2.423 0.000 4.773" Properties=species:S:1:pos:R:3 pbc="T T T"
Li 3.029 2.378 0.009
Li 7.876 2.395 4.764
Li 4.241 0.009 2.395
Li 4.241 4.764 2.378
Os 6.058 2.387 2.387
Os 0.000 0.000 0.000
Al 2.423 0.000 0.000
Al 3.635 2.387 2.387
```

Results
ΔH_f (0 K)   490 meV per atom
Final energy   -4.57 eV/atom
Crystal system   tetragonal